Be3TeW after structural relaxation. Source: Alexandria, functional GGA-PBEsol.

Results
* density of states at the Fermi level: 2.70 states/eV per cell
* SG: Pm-3m
* ΔE_f (raw): 1.404 eV per atom

POSCAR file:
```
Be3TeW
1.0
4.377 0.000 0.000
0.000 4.377 0.000
0.000 0.000 4.377
Be Te W
3 1 1
Cartesian
0.000 0.000 2.188
0.000 2.188 0.000
2.188 0.000 0.000
2.188 2.188 2.188
0.000 0.000 0.000
```